HfBeInCu | PBE | relaxed

extended XYZ file:
```
4
Lattice="0.0000 3.2195 3.2195 3.2195 0.0000 3.2195 3.2195 3.2195 0.0000" Properties=species:S:1:pos:R:3 pbc="T T T"
In 0.0000 0.0000 0.0000
Cu 4.8292 4.8292 4.8292
Be 3.2195 3.2195 3.2195
Hf 1.6097 1.6097 1.6097
```

Results
Space group: F-43m (216)
E: -4.774 eV/atom

---

NaHfNO | PBE | relaxed

extended XYZ file:
```
8
Lattice="2.7878 -1.9176 0.4431 2.5270 4.3044 2.7290 -2.3968 -2.1779 5.6545" Properties=species:S:1:pos:R:3 pbc="T T T"
O 1.4456 0.7997 7.5071
O 1.9897 0.2901 1.8780
Na 0.4121 1.3606 3.2957
Na 0.9366 2.8413 6.4036
N -0.6410 0.2410 5.0756
N 1.5800 3.2632 4.1813
Hf 0.6400 -0.6387 6.3504
Hf 1.0174 -1.2998 1.1147
```

Results
Space group: Pmc2_1 (26)
E: -7.983 eV/atom

---

CsCuTe2WSe | PBE | relaxed

extended XYZ file:
```
12
Lattice="2.0370 -8.4890 0.0000 2.0370 8.4890 0.0000 0.0000 0.0000 10.1898" Properties=species:S:1:pos:R:3 pbc="T T T"
Te 2.0370 6.6171 9.7463
Te 2.0370 -6.6171 0.4436
Te 2.0370 -6.6171 4.6514
Te 2.0370 6.6171 5.5385
Cu 2.0370 -8.0581 2.5475
Cu 2.0370 8.0581 7.6424
W 2.0370 0.0000 5.0949
W 2.0370 0.0000 0.0000
Cs 2.0370 4.3540 2.5475
Cs 2.0370 -4.3540 7.6424
Se 2.0370 -0.9319 2.5475
Se 2.0370 0.9319 7.6424
```

Results
Space group: Cmcm (63)
E: -4.748 eV/atom

---

NiIrPtPb | PBE | relaxed

extended XYZ file:
```
4
Lattice="-0.6721 -2.2871 3.8380 -2.9130 -3.4524 0.0919 1.5261 -4.2333 0.4039" Properties=species:S:1:pos:R:3 pbc="T T T"
Pt -0.5147 -2.4932 1.0834
Pb 0.0000 0.0000 0.0000
Ir -1.0295 -4.9864 2.1669
Ni -1.5442 -7.4796 3.2503
```

Results
Space group: F-43m (216)
E: -5.696 eV/atom